No. 1
VASP calculation (PBE-GGA) on a relaxed structure of KTmRe2N6.

Results
E_tot (Ry/atom): -0.6191
SG: C2/c, No. 15
Volume (Å³/atom): 17.75

a b c (Å): 7.726 7.726 6.366
angles (deg): 104.84 104.84 86.58
Fractional coordinates of all 20 atoms:
K (0.086, 0.914, 0.750)
K (0.914, 0.086, 0.250)
Tm (0.290, 0.710, 0.250)
Tm (0.710, 0.290, 0.750)
Re (0.212, 0.379, 0.827)
Re (0.379, 0.212, 0.327)
Re (0.621, 0.788, 0.673)
Re (0.788, 0.621, 0.173)
N (0.000, 0.273, 0.713)
N (0.000, 0.727, 0.287)
N (0.181, 0.611, 0.869)
N (0.273, 0.000, 0.213)
N (0.307, 0.371, 0.131)
N (0.371, 0.307, 0.631)
N (0.389, 0.819, 0.631)
N (0.611, 0.181, 0.369)
N (0.629, 0.693, 0.369)
N (0.693, 0.629, 0.869)
N (0.727, 0.000, 0.787)
N (0.819, 0.389, 0.131)

=====

No. 2
VASP calculation (PBE-GGA) on a relaxed structure of KUReN4.

Results
E_tot (Ry/atom): -0.6477
SG: P2_1/m, No. 11
Volume (Å³/atom): 18.00

a b c (Å): 6.017 5.709 7.683
angles (deg): 90.00 107.23 90.00
Fractional coordinates of all 14 atoms:
K (0.194, 0.250, 0.434)
K (0.806, 0.750, 0.566)
U (0.296, 0.250, 0.957)
U (0.704, 0.750, 0.043)
Re (0.245, 0.750, 0.153)
Re (0.755, 0.250, 0.847)
N (0.019, 0.750, 0.935)
N (0.049, 0.750, 0.293)
N (0.474, 0.510, 0.167)
N (0.474, 0.990, 0.167)
N (0.526, 0.010, 0.833)
N (0.526, 0.490, 0.833)
N (0.951, 0.250, 0.707)
N (0.981, 0.250, 0.065)

=====

No. 3
VASP calculation (PBE-GGA) on a relaxed structure of K2UReN4.

Results
E_tot (Ry/atom): -0.5740
SG: Pmn2_1, No. 31
Volume (Å³/atom): 20.22

a b c (Å): 7.179 7.412 6.080
angles (deg): 90.00 90.00 90.00
Fractional coordinates of all 16 atoms:
K (0.247, 0.156, 0.000)
K (0.253, 0.844, 0.500)
K (0.747, 0.844, 0.500)
K (0.753, 0.156, 0.000)
U (0.000, 0.641, 0.983)
U (0.500, 0.359, 0.483)
Re (0.000, 0.357, 0.475)
Re (0.500, 0.643, 0.975)
N (0.000, 0.397, 0.177)
N (0.000, 0.572, 0.632)
N (0.221, 0.230, 0.534)
N (0.279, 0.770, 0.034)
N (0.500, 0.428, 0.132)
N (0.500, 0.603, 0.677)
N (0.721, 0.770, 0.034)
N (0.779, 0.230, 0.534)

=====

No. 4
VASP calculation (PBE-GGA) on a relaxed structure of K2ReWN4.

Results
E_tot (Ry/atom): -0.5795
SG: Pmmn, No. 59
Volume (Å³/atom): 17.70

a b c (Å): 6.168 6.714 6.840
angles (deg): 90.00 90.00 90.00
Fractional coordinates of all 16 atoms:
K (0.250, 0.002, 0.205)
K (0.250, 0.498, 0.205)
K (0.750, 0.502, 0.795)
K (0.750, 0.998, 0.795)
Re (0.250, 0.250, 0.662)
Re (0.750, 0.750, 0.338)
W (0.250, 0.750, 0.654)
W (0.750, 0.250, 0.346)
N (0.005, 0.250, 0.499)
N (0.250, 0.000, 0.799)
N (0.250, 0.500, 0.799)
N (0.495, 0.250, 0.499)
N (0.505, 0.750, 0.501)
N (0.750, 0.000, 0.201)
N (0.750, 0.500, 0.201)
N (0.995, 0.750, 0.501)

=====

No. 5
VASP calculation (PBE-GGA) on a relaxed structure of K2ReWN.

Results
E_tot (Ry/atom): -0.3927
SG: P4/mmm, No. 123
Volume (Å³/atom): 35.03

a b c (Å): 6.751 6.751 3.842
angles (deg): 90.00 90.00 90.00
Fractional coordinates of all 5 atoms:
K (0.000, 0.500, 0.000)
K (0.500, 0.000, 0.000)
Re (0.000, 0.000, 0.500)
W (0.500, 0.500, 0.000)
N (0.500, 0.500, 0.500)

=====

No. 6
VASP calculation (PBE-GGA) on a relaxed structure of KY2ReN.

Results
E_tot (Ry/atom): -0.3032
SG: P4/mmm, No. 123
Volume (Å³/atom): 24.02

a b c (Å): 5.210 5.210 4.425
angles (deg): 90.00 90.00 90.00
Fractional coordinates of all 5 atoms:
K (0.000, 0.000, 0.000)
Y (0.000, 0.500, 0.000)
Y (0.500, 0.000, 0.000)
Re (0.000, 0.000, 0.500)
N (0.500, 0.500, 0.500)